(1)
First-principles (PBE) data for a relaxed Tb3Pm8Mg crystal, as listed in the Alexandria database.

The space group is I-42m, No. 121. The formation energy from the elements is 540 meV/atom. The value obtained for the total DFT energy (no corrections) is -3.918 eV/atom.

abc: 8.401 8.401 8.401
angles: 117.74 117.74 93.97
Fractional coordinates of all 12 atoms:
Tb: 0.000 0.000 0.000
Tb: 0.250 0.750 0.500
Tb: 0.750 0.250 0.500
Pm: 0.122 0.122 0.747
Pm: 0.243 0.243 0.500
Pm: 0.257 0.757 0.000
Pm: 0.375 0.375 0.253
Pm: 0.625 0.878 0.000
Pm: 0.743 0.743 0.500
Pm: 0.757 0.257 0.000
Pm: 0.878 0.625 0.000
Mg: 0.500 0.500 0.000



(2)
First-principles (PBE) data for a relaxed Tb4PmMg crystal, as listed in the Alexandria database.

The space group is Cmc2_1, No. 36. The formation energy from the elements is 18 meV/atom. The value obtained for the total DFT energy (no corrections) is -4.127 eV/atom.

abc: 6.653 6.653 11.211
angles: 90.00 90.00 131.31
Fractional coordinates of all 12 atoms:
Tb: 0.002 0.998 0.500
Tb: 0.181 0.819 0.247
Tb: 0.326 0.674 0.968
Tb: 0.480 0.520 0.245
Tb: 0.520 0.480 0.745
Tb: 0.674 0.326 0.468
Tb: 0.819 0.181 0.747
Tb: 0.998 0.002 0.000
Pm: 0.323 0.677 0.527
Pm: 0.677 0.323 0.027
Mg: 0.153 0.847 0.751
Mg: 0.847 0.153 0.251